DFT (GGA-PBE) results for an optimized crystal structure of Nd3NpTl4Te8.

Cell: 9.7094 9.7094 9.7094 Å, 55.99 55.99 55.99°
Fractional positions:
Nd 0.0000 0.5000 0.5000
Nd 0.5000 0.0000 0.5000
Nd 0.5000 0.5000 0.0000
Np 0.0000 0.0000 0.0000
Tl 0.0000 0.0000 0.5000
Tl 0.0000 0.5000 0.0000
Tl 0.5000 0.0000 0.0000
Tl 0.5000 0.5000 0.5000
Te 0.2379 0.2379 0.7429
Te 0.2379 0.7429 0.2379
Te 0.2571 0.7621 0.7621
Te 0.2595 0.2595 0.2595
Te 0.7405 0.7405 0.7405
Te 0.7429 0.2379 0.2379
Te 0.7621 0.2571 0.7621
Te 0.7621 0.7621 0.2571

Energy (eV per atom): -4.807
Space-group type: R-3m, No. 166
Volume (Å³/atom): 36.7
Formation energy (no corrections) (eV/atom): -0.942